1.
# GGA-PBE Ti2Ni9Rh, relaxed
# DFT formation energy, meV per atom: -278.5
# E_tot, eV/atom: -6.5429
# Theoretical density, g/cm3: 8.5
data_Ti2Ni9Rh
_cell_length_a 3.6101
_cell_length_b 3.6101
_cell_length_c 10.8560
_cell_angle_alpha 90.00
_cell_angle_beta 90.00
_cell_angle_gamma 90.00
_space_group_name_H-M_alt 'P 4/m m m'
_space_group_IT_number 123
_space_group_name_Hall '-P 4 2'
loop_
_atom_site_label
_atom_site_type_symbol
_atom_site_fract_x
_atom_site_fract_y
_atom_site_fract_z
Ti1 Ti 0.0000 0.0000 0.1674
Ni1 Ni 0.0000 0.5000 0.0000
Ni2 Ni 0.0000 0.5000 0.3300
Ni3 Ni 0.5000 0.5000 0.1652
Ni4 Ni 0.5000 0.5000 0.5000
Rh1 Rh 0.0000 0.0000 0.5000

2.
# GGA-PBE Ti8Ni3Rh2, relaxed
# DFT formation energy, meV per atom: -194.2
# E_tot, eV/atom: -7.5177
# Theoretical density, g/cm3: 6.1
data_Ti8Ni3Rh2
_cell_length_a 11.5280
_cell_length_b 7.1000
_cell_length_c 5.1235
_cell_angle_alpha 90.00
_cell_angle_beta 97.20
_cell_angle_gamma 90.00
_space_group_name_H-M_alt 'C 1 2/m 1'
_space_group_IT_number 12
loop_
_space_group_symop_operation_xyz
'x,y,z'
'-x,-y,-z'
'-x,y,-z'
'x,-y,z'
'x+1/2,y+1/2,z'
'-x+1/2,-y+1/2,-z'
'-x+1/2,y+1/2,-z'
'x+1/2,-y+1/2,z'
loop_
_atom_site_label
_atom_site_type_symbol
_atom_site_fract_x
_atom_site_fract_y
_atom_site_fract_z
Ti1 Ti 0.0929 0.0000 0.3924
Ti2 Ti 0.1153 0.1898 0.8879
Ti3 Ti 0.1783 0.5000 0.3271
Ni1 Ni 0.0000 0.3298 0.5000
Ni2 Ni 0.0000 0.5000 0.0000
Rh1 Rh 0.2087 0.5000 0.8259

3.
# GGA-PBE Ti2Ni15Rh2, relaxed
# DFT formation energy, meV per atom: 6.3
# E_tot, eV/atom: -6.1628
# Theoretical density, g/cm3: 8.5
data_Ti2Ni15Rh2
_cell_length_a 8.1534
_cell_length_b 8.1534
_cell_length_c 12.1001
_cell_angle_alpha 90.00
_cell_angle_beta 90.00
_cell_angle_gamma 120.00
_space_group_name_H-M_alt 'R -3 m'
_space_group_IT_number 166
_space_group_name_Hall '-R 3 2"'
loop_
_atom_site_label
_atom_site_type_symbol
_atom_site_fract_x
_atom_site_fract_y
_atom_site_fract_z
Ti1 Ti 0.0000 0.0000 0.1148
Ni1 Ni 0.0000 0.3053 0.0000
Ni2 Ni 0.0000 0.5000 0.5000
Ni3 Ni 0.0095 0.5048 0.1532
Rh1 Rh 0.0000 0.0000 0.3186

4.
# GGA-PBE Ti2Ni4Rh, relaxed
# DFT formation energy, meV per atom: -160.8
# E_tot, eV/atom: -6.7703
# Theoretical density, g/cm3: 7.7
# Energy above the lowest structure with this stoichiometry, meV per atom: 128.7
data_Ti2Ni4Rh
_cell_length_a 4.8618
_cell_length_b 9.3974
_cell_length_c 4.4047
_cell_angle_alpha 90.00
_cell_angle_beta 111.72
_cell_angle_gamma 90.00
_space_group_name_H-M_alt 'C 1 m 1'
_space_group_IT_number 8
loop_
_space_group_symop_operation_xyz
'x,y,z'
'x,-y,z'
'x+1/2,y+1/2,z'
'x+1/2,-y+1/2,z'
loop_
_atom_site_label
_atom_site_type_symbol
_atom_site_fract_x
_atom_site_fract_y
_atom_site_fract_z
Ti1 Ti 0.0000 0.1646 0.0000
Ni1 Ni 0.0391 0.2834 0.5049
Ni2 Ni 0.0836 0.5000 0.8177
Ni3 Ni 0.3884 0.0000 0.2072
Rh1 Rh 0.4716 0.5000 0.4960

5.
# GGA-PBE Ti6NiRh3, relaxed
# DFT formation energy, meV per atom: -312.5
# E_tot, eV/atom: -7.8330
# Theoretical density, g/cm3: 6.7
data_Ti6NiRh3
_cell_length_a 7.0286
_cell_length_b 5.9913
_cell_length_c 10.1763
_cell_angle_alpha 90.00
_cell_angle_beta 130.90
_cell_angle_gamma 90.00
_space_group_name_H-M_alt 'P 1 21/c 1'
_space_group_IT_number 14
loop_
_space_group_symop_operation_xyz
'x,y,z'
'-x,-y,-z'
'-x,y+1/2,-z+1/2'
'x,-y+1/2,z+1/2'
loop_
_atom_site_label
_atom_site_type_symbol
_atom_site_fract_x
_atom_site_fract_y
_atom_site_fract_z
Ti1 Ti 0.0349 0.1412 0.2466
Ti2 Ti 0.2513 0.1604 0.0709
Ti3 Ti 0.3877 0.6307 0.0525
Ni1 Ni 0.0000 0.0000 0.5000
Rh1 Rh 0.2584 0.6728 0.7173
Rh2 Rh 0.5000 0.0000 0.0000

6.
# GGA-PBE Ti5NiRh4, relaxed
# DFT formation energy, meV per atom: -660.3
# E_tot, eV/atom: -8.1265
# Theoretical density, g/cm3: 8.0
data_Ti5NiRh4
_cell_length_a 3.1186
_cell_length_b 3.1186
_cell_length_c 15.2256
_cell_angle_alpha 90.00
_cell_angle_beta 90.00
_cell_angle_gamma 90.00
_space_group_name_H-M_alt 'P 4/m m m'
_space_group_IT_number 123
_space_group_name_Hall '-P 4 2'
loop_
_atom_site_label
_atom_site_type_symbol
_atom_site_fract_x
_atom_site_fract_y
_atom_site_fract_z
Ti1 Ti 0.0000 0.0000 0.0000
Ti2 Ti 0.0000 0.0000 0.2037
Ti3 Ti 0.0000 0.0000 0.4061
Ni1 Ni 0.5000 0.5000 0.5000
Rh1 Rh 0.5000 0.5000 0.1010
Rh2 Rh 0.5000 0.5000 0.3035

7.
# GGA-PBE Ti4NiRh, relaxed
# DFT formation energy, meV per atom: -235.2
# E_tot, eV/atom: -7.6873
# Theoretical density, g/cm3: 6.3
# Energy above the lowest structure with this stoichiometry, meV per atom: 218.6
data_Ti4NiRh
_cell_length_a 13.4595
_cell_length_b 2.9554
_cell_length_c 4.9497
_cell_angle_alpha 90.00
_cell_angle_beta 109.66
_cell_angle_gamma 90.00
_space_group_name_H-M_alt 'C 1 2/m 1'
_space_group_IT_number 12
loop_
_space_group_symop_operation_xyz
'x,y,z'
'-x,-y,-z'
'-x,y,-z'
'x,-y,z'
'x+1/2,y+1/2,z'
'-x+1/2,-y+1/2,-z'
'-x+1/2,y+1/2,-z'
'x+1/2,-y+1/2,z'
loop_
_atom_site_label
_atom_site_type_symbol
_atom_site_fract_x
_atom_site_fract_y
_atom_site_fract_z
Ti1 Ti 0.1601 0.0000 0.4982
Ti2 Ti 0.1618 0.5000 0.9931
Ni1 Ni 0.0000 0.5000 0.5000
Rh1 Rh 0.0000 0.0000 0.0000

8.
# GGA-PBE TiNi4Rh, relaxed
# DFT formation energy, meV per atom: -66.3
# E_tot, eV/atom: -6.4616
# Theoretical density, g/cm3: 8.3
# Energy above the lowest structure with this stoichiometry, meV per atom: 230.8
data_TiNi4Rh
_cell_length_a 3.6830
_cell_length_b 16.4894
_cell_length_c 5.0660
_cell_angle_alpha 90.00
_cell_angle_beta 90.00
_cell_angle_gamma 90.00
_space_group_name_H-M_alt 'C m c m'
_space_group_IT_number 63
_space_group_name_Hall '-C 2c 2'
loop_
_atom_site_label
_atom_site_type_symbol
_atom_site_fract_x
_atom_site_fract_y
_atom_site_fract_z
Ti1 Ti 0.0000 0.2304 0.2500
Ni1 Ni 0.0000 0.0726 0.2500
Ni2 Ni 0.0000 0.3502 0.5195
Ni3 Ni 0.0000 0.5000 0.0000
Rh1 Rh 0.0000 0.0864 0.7500

- Look up the DFT formation energy of the fourth one.
  -160.8 meV per atom

- Which formula does entry 4 have?
  Ti2Ni4Rh

What did the fourth record say?
# GGA-PBE Ti2Ni4Rh, relaxed
# DFT formation energy, meV per atom: -160.8
# E_tot, eV/atom: -6.7703
# Theoretical density, g/cm3: 7.7
# Energy above the lowest structure with this stoichiometry, meV per atom: 128.7
data_Ti2Ni4Rh
_cell_length_a 4.8618
_cell_length_b 9.3974
_cell_length_c 4.4047
_cell_angle_alpha 90.00
_cell_angle_beta 111.72
_cell_angle_gamma 90.00
_space_group_name_H-M_alt 'C 1 m 1'
_space_group_IT_number 8
loop_
_space_group_symop_operation_xyz
'x,y,z'
'x,-y,z'
'x+1/2,y+1/2,z'
'x+1/2,-y+1/2,z'
loop_
_atom_site_label
_atom_site_type_symbol
_atom_site_fract_x
_atom_site_fract_y
_atom_site_fract_z
Ti1 Ti 0.0000 0.1646 0.0000
Ni1 Ni 0.0391 0.2834 0.5049
Ni2 Ni 0.0836 0.5000 0.8177
Ni3 Ni 0.3884 0.0000 0.2072
Rh1 Rh 0.4716 0.5000 0.4960